Material: Nd2Al3Ge4
Method: DFT, GGA-PBEsol
State: optimized geometry

```
data_Nd2Al3Ge4
_chemical_formula_sum 'Nd8 Al12 Ge16'
_space_group_name_H-M_alt 'C m c e'
_space_group_IT_number 64
_space_group_name_Hall '-C 2ac 2'
_cell_length_a 5.957
_cell_length_b 14.908
_cell_length_c 7.952
_cell_angle_alpha 90.00
_cell_angle_beta 90.00
_cell_angle_gamma 90.00
loop_
_atom_site_label
_atom_site_fract_x
_atom_site_fract_y
_atom_site_fract_z
Nd1 0.000 0.115 0.081
Al1 0.000 0.000 0.500
Al2 0.250 0.216 0.750
Ge1 0.000 0.185 0.449
Ge2 0.250 0.047 0.750
```

Properties
Uncorrected energy (eV per atom): -5.221
V (Å³ per atom): 19.6



Material: BaZr2Cd
Method: DFT, GGA-PBEsol
State: optimized geometry

```
data_BaZr2Cd
_chemical_formula_sum 'Ba1 Zr2 Cd1'
_space_group_name_H-M_alt 'P 1 2/m 1'
_space_group_IT_number 10
_cell_length_a 3.216
_cell_length_b 5.427
_cell_length_c 6.080
_cell_angle_alpha 90.00
_cell_angle_beta 97.81
_cell_angle_gamma 90.00
loop_
_space_group_symop_operation_xyz
'x,y,z'
'-x,-y,-z'
'-x,y,-z'
'x,-y,z'
loop_
_atom_site_label
_atom_site_fract_x
_atom_site_fract_y
_atom_site_fract_z
Ba1 0.000 0.000 0.000
Zr1 0.308 0.500 0.708
Cd1 0.500 0.000 0.500
```

Properties
Uncorrected energy (eV per atom): -5.033
V (Å³ per atom): 26.3